First-principles (SCAN) data for Pd3BrCl at its PBEsol-relaxed geometry, as listed in Alexandria.

Properties
total magnetic moment	0.0	μB/cell
mass density	7.64	g cm⁻³
uncorrected formation energy	381	meV per atom
energy above the most stable polymorph in this dataset	0.0	meV per atom

abc: 4.5544 4.5544 4.5544
angles: 90.00 90.00 90.00
Space group Pm-3m (No. 221)
One atom of each set of equivalent atoms:
Pd: 0.0000 0.0000 0.5000 [3 per cell]
Br: 0.5000 0.5000 0.5000 [1 per cell]
Cl: 0.0000 0.0000 0.0000 [1 per cell]